#P
First-principles (PBE) data for crystalline ScTcPb2 at its relaxed geometry, as listed in Alexandria via LeMat-Bulk.

Lattice parameters (Å, degrees): 3.3366 4.7268 11.6475 90.00 90.00 90.00
Space group Imm2 (No. 44)
One atom of each set of equivalent atoms:
1 Sc 0.0000 0.0000 0.0000 [2 per cell]
2 Tc 0.0000 0.5000 0.6842 [2 per cell]
3 Pb 0.0000 0.0000 0.4004 [2 per cell]
4 Pb 0.0000 0.5000 0.1861 [2 per cell]

Magnetization = 0.00 μB per formula unit
DOS at the Fermi energy = 0.796 states/eV/atom

=====

#Q
First-principles (PBE) data for crystalline ScTcPb2 at its relaxed geometry, as listed in Alexandria via LeMat-Bulk.

Lattice parameters (Å, degrees): 3.5490 4.5610 5.8141 90.00 105.97 90.00
Space group Pm (No. 6)
One atom of each set of equivalent atoms:
1 Sc 0.0000 0.0000 0.0000 [1 per cell]
2 Tc 0.2711 0.5000 0.2370 [1 per cell]
3 Pb 0.4397 0.5000 0.7870 [1 per cell]
4 Pb 0.7878 0.0000 0.4488 [1 per cell]

Magnetization = 0.00 μB per formula unit
DOS at the Fermi energy = 0.814 states/eV/atom

=====

Which one sits at the bottom of the stability order? #Q does.